# CdMoP2O8

A relaxed CdMoP2O8 crystal (PBE with a Hubbard U, Alexandria via LeMat-Bulk).

Cell: 5.668 5.668 5.668 Å, 105.64 105.64 117.44°
Sites, in units of the cell vectors:
Cd: 0.000 0.000 0.000
Mo: 0.250 0.750 0.500
P: 0.500 0.500 0.000
P: 0.750 0.250 0.500
O: 0.343 0.159 0.817
O: 0.343 0.526 0.183
O: 0.405 0.076 0.329
O: 0.474 0.657 0.817
O: 0.747 0.076 0.671
O: 0.841 0.657 0.183
O: 0.924 0.253 0.329
O: 0.924 0.595 0.671

**Crystal system**: tetragonal
**Uncorrected energy**: -80.13 eV for the cell shown
**SG**: No. 119